# 1
The following is a DFT calculation (PBE) of an optimized crystal structure of CaDy3Ni.

Results
Total magnetic moment = 0.08 μB per cell
Fermi-level density of states = 9.6 states/eV/cell
Final energy = -4.374 eV per atom
DFT formation energy = -0.056 eV/atom

a b c (Å): 5.373 5.373 5.373
angles (deg): 90.00 90.00 90.00
Space group Pm-3m (No. 221)
Unique sites:
Ca (0.000, 0.000, 0.000) [1 per cell]
Dy (0.000, 0.500, 0.500) [3 per cell]
Ni (0.500, 0.500, 0.500) [1 per cell]


# 2
The following is a DFT calculation (PBE) of an optimized crystal structure of CaDyNi.

Results
Total magnetic moment = 0.00 μB per cell
Fermi-level density of states = 19.8 states/eV/cell
Final energy = -4.233 eV per atom
DFT formation energy = -0.104 eV/atom
E above lowest polymorph = 175 meV per atom

a b c (Å): 19.489 4.688 7.536
angles (deg): 90.00 93.97 90.00
Space group C2/m (No. 12)
Unique sites:
Ca (0.067, 0.000, 0.316) [4 per cell]
Ca (0.092, 0.500, 0.850) [4 per cell]
Dy (0.210, 0.000, 0.612) [4 per cell]
Dy (0.219, 0.000, 0.120) [4 per cell]
Ni (0.157, 0.500, 0.507) [4 per cell]
Ni (0.162, 0.500, 0.199) [4 per cell]


# 3
The following is a DFT calculation (PBE) of an optimized crystal structure of CaDyNi2P2.

Results
Total magnetic moment = 0.00 μB per cell
Fermi-level density of states = 2.9 states/eV/cell
Final energy = -5.920 eV per atom
DFT formation energy = -1.089 eV/atom

a b c (Å): 3.8877 3.8877 7.9993
angles (deg): 90.00 90.00 120.00
Space group P-3m1 (No. 164)
Unique sites:
Ca (0.0000, 0.0000, 0.0000) [1 per cell]
Dy (0.0000, 0.0000, 0.5000) [1 per cell]
Ni (0.3333, 0.6667, 0.7393) [2 per cell]
P (0.3333, 0.6667, 0.2587) [2 per cell]


# 4
The following is a DFT calculation (PBE) of an optimized crystal structure of CaDyNiRh.

Results
Total magnetic moment = 0.00 μB per cell
Fermi-level density of states = 12.7 states/eV/cell
Final energy = -5.333 eV per atom
DFT formation energy = -0.399 eV/atom

a b c (Å): 6.819 6.819 6.819
angles (deg): 90.00 90.00 90.00
Space group F-43m (No. 216)
Unique sites:
Ca (0.000, 0.000, 0.000) [4 per cell]
Dy (0.000, 0.000, 0.500) [4 per cell]
Ni (0.250, 0.250, 0.750) [4 per cell]
Rh (0.250, 0.250, 0.250) [4 per cell]


# 5
The following is a DFT calculation (PBE) of an optimized crystal structure of CaDyTlNi.

Results
Total magnetic moment = 0.00 μB per cell
Fermi-level density of states = 8.4 states/eV/cell
Final energy = -3.874 eV per atom
DFT formation energy = -0.186 eV/atom

a b c (Å): 7.267 7.267 7.267
angles (deg): 90.00 90.00 90.00
Space group F-43m (No. 216)
Unique sites:
Ca (0.000, 0.000, 0.000) [4 per cell]
Dy (0.000, 0.000, 0.500) [4 per cell]
Tl (0.250, 0.250, 0.250) [4 per cell]
Ni (0.250, 0.250, 0.750) [4 per cell]


# 6
The following is a DFT calculation (PBE) of an optimized crystal structure of CaDyZnNi.

Results
Total magnetic moment = 0.00 μB per cell
Fermi-level density of states = 13.4 states/eV/cell
Final energy = -3.622 eV per atom
DFT formation energy = -0.207 eV/atom

a b c (Å): 6.981 6.981 6.981
angles (deg): 90.00 90.00 90.00
Space group F-43m (No. 216)
Unique sites:
Ca (0.000, 0.000, 0.000) [4 per cell]
Dy (0.000, 0.000, 0.500) [4 per cell]
Zn (0.250, 0.250, 0.750) [4 per cell]
Ni (0.250, 0.250, 0.250) [4 per cell]